A plane-wave DFT calculation with PBE-GGA was carried out for a geometry-optimized Ba3Sr6Rh structure.

Cell lengths 18.3972, 18.5644, 6.1039 Å; angles 90.00, 90.00, 90.00 degrees
Last column: nearest neighbours and their distance in Å.
Space group Cmcm (No. 63)
Asymmetric unit:
Ba (0.0000, 0.0889, 0.2500) x4  1 Rh 2.98
Ba (0.1659, 0.4145, 0.7500) x8  10 Sr 4.32-4.48, 2 Ba 4.40
Sr (0.0000, 0.2485, 0.7500) x4  2 Rh 3.05
Sr (0.0000, 0.4091, 0.2500) x4  1 Rh 2.96
Sr (0.1607, 0.2499, 0.2500) x8  1 Rh 2.96
Sr (0.1683, 0.0845, 0.7500) x8  6 Ba 4.32-4.47, 6 Sr 4.33-4.40
Rh (0.0000, 0.2495, 0.2500) x4  5 Sr 2.96-3.05, 1 Ba 2.98

Values from the calculation:
For the volume, the calculation gives 52.12 Å³ per atom. The formation energy is -0.10 eV/atom. The calculation puts the calculated density at 3.32 g/cm³.

=====

A plane-wave DFT calculation with PBE-GGA was carried out for a geometry-optimized BaSr2Rh structure.

Cell lengths 4.3267, 14.1016, 10.3401 Å; angles 90.00, 90.00, 90.00 degrees
Last column: nearest neighbours and their distance in Å.
Space group Cmcm (No. 63)
Asymmetric unit:
Ba (0.0000, 0.0863, 0.2500) x4  2 Rh 3.11
Sr (0.0000, 0.3463, 0.0739) x8  2 Rh 3.17
Rh (0.0000, 0.2548, 0.7500) x4  2 Ba 3.11, 4 Sr 3.17

Values from the calculation:
For the volume, the calculation gives 39.43 Å³ per atom. The formation energy is -0.19 eV/atom. The calculation puts the calculated density at 4.37 g/cm³. The calculation puts the energy above the most stable polymorph in this dataset at 0 meV/atom.

=====

A plane-wave DFT calculation with PBE-GGA was carried out for a geometry-optimized BaSrRh3 structure.

Cell lengths 5.1440, 5.1440, 5.1440 Å; angles 90.00, 90.00, 90.00 degrees
Last column: nearest neighbours and their distance in Å.
Space group Pm-3m (No. 221)
Asymmetric unit:
Ba (0.0000, 0.0000, 0.0000) x1  12 Rh 3.64
Sr (0.5000, 0.5000, 0.5000) x1  6 Rh 2.57
Rh (0.0000, 0.5000, 0.5000) x3  2 Sr 2.57

Values from the calculation:
For the volume, the calculation gives 27.22 Å³ per atom. The formation energy is 0.92 eV/atom. The calculation puts the calculated density at 6.51 g/cm³. The calculation puts the energy above the most stable polymorph in this dataset at 0 meV/atom.